## Nd2Ni3P4Pt (PBE)

Data for a relaxed structure of Nd2Ni3P4Pt.

## Properties
For the formation energy, the calculation gives -980 meV per atom. Its space group is No. 115.

a = 4.1183 Å, b = 4.1183 Å, c = 9.2944 Å
α = 90.00°, β = 90.00°, γ = 90.00°
Closest atoms and distances in Å follow each position.
Element x y z (fractional)
Ni (0.0000, 0.0000, 0.5000)  4 P 2.43
Pt (0.5000, 0.5000, 0.5000)  4 P 2.43
P (0.5000, 0.0000, 0.6387)  3 Ni 2.32-2.43, 2 Pt 2.43
Ni (0.5000, 0.0000, 0.8888)  5 P 2.30-2.32
P (0.5000, 0.5000, 0.0000)  4 Ni 2.30
P (0.0000, 0.0000, 0.0000)  4 Ni 2.30
Nd (0.5000, 0.0000, 0.2408)  8 P 3.04-3.12, 7 Ni 3.15-3.27, 2 Pt 3.17
Nd (0.0000, 0.5000, 0.7592)  8 P 3.04-3.12, 7 Ni 3.15-3.27, 2 Pt 3.17
P (0.0000, 0.5000, 0.3613)  3 Ni 2.32-2.43, 2 Pt 2.43
Ni (0.0000, 0.5000, 0.1112)  5 P 2.30-2.32